Here is a relaxed Dy3Ho4Cd crystal from Alexandria via LeMat-Bulk. Energies are from PBE-GGA.

Summary:
D(E_F) = 13.54 states/eV/cell
Distance to the lowest polymorph of the same formula = 0.435 eV per atom

abc: 7.278 7.278 7.278
angles: 105.16 95.46 130.04
Positions (direct):
Cd1 0.011 0.500 0.511
Dy1 0.928 0.000 0.928
Ho1 0.500 0.248 0.252
Ho2 0.268 0.326 0.593
Ho3 0.268 0.674 0.942
Dy2 0.586 0.816 0.402
Dy3 0.586 0.184 0.770
Ho4 0.004 0.752 0.252

---

Here is a relaxed DyHoCd5 crystal from Alexandria via LeMat-Bulk. Energies are from PBE-GGA.

Summary:
D(E_F) = 4.53 states/eV/cell

abc: 5.113 5.113 6.941
angles: 90.00 90.00 90.00
Positions (direct):
Cd1 0.000 0.500 0.234
Cd2 0.500 0.000 0.234
Dy1 0.000 0.000 0.500
Ho1 0.500 0.500 0.000
Cd3 0.500 0.000 0.766
Cd4 0.000 0.500 0.766
Cd5 0.500 0.500 0.500

---

Here is a relaxed DyHo2Cd2 crystal from Alexandria via LeMat-Bulk. Energies are from PBE-GGA.

Summary:
D(E_F) = 9.33 states/eV/cell

abc: 5.325 3.709 13.813
angles: 82.27 90.00 90.00
Positions (direct):
Ho1 0.750 0.764 0.472
Cd1 0.750 0.551 0.898
Ho2 0.750 0.954 0.091
Cd2 0.250 0.449 0.102
Dy1 0.750 0.149 0.702
Cd3 0.750 0.359 0.282
Ho3 0.250 0.046 0.909
Ho4 0.250 0.236 0.528
Cd4 0.250 0.641 0.718
Dy2 0.250 0.851 0.298

---

Here is a relaxed DyHo2Cd crystal from Alexandria via LeMat-Bulk. Energies are from PBE-GGA.

Summary:
D(E_F) = 4.92 states/eV/cell
Distance to the lowest polymorph of the same formula = 0.098 eV per atom

abc: 3.970 5.345 5.345
angles: 90.00 90.00 90.00
Positions (direct):
Ho1 0.000 0.000 0.500
Cd1 0.500 0.500 0.500
Ho2 0.000 0.500 0.000
Dy1 0.500 0.000 0.000

---

Here is a relaxed Dy6HoCd5 crystal from Alexandria via LeMat-Bulk. Energies are from PBE-GGA.

Summary:
D(E_F) = 15.20 states/eV/cell

abc: 5.241 7.772 9.248
angles: 114.85 106.46 90.00
Positions (direct):
Dy1 0.829 0.085 0.659
Cd1 0.331 0.331 0.662
Cd2 0.669 0.669 0.338
Cd3 0.000 0.500 0.000
Dy2 0.500 0.269 0.000
Cd4 0.653 0.153 0.306
Dy3 0.829 0.574 0.659
Dy4 0.500 0.731 0.000
Dy5 0.171 0.426 0.341
Dy6 0.171 0.915 0.341
Ho1 0.000 0.000 0.000
Cd5 0.347 0.847 0.694

---

Here is a relaxed Dy5Ho2Cd crystal from Alexandria via LeMat-Bulk. Energies are from PBE-GGA.

Summary:
D(E_F) = 7.84 states/eV/cell

abc: 8.098 8.099 6.809
angles: 126.47 126.47 90.03
Positions (direct):
Dy1 0.693 0.693 0.936
Cd1 0.202 0.202 0.404
Dy2 0.692 0.242 0.935
Ho1 0.711 0.211 0.423
Dy3 0.242 0.692 0.935
Ho2 0.212 0.712 0.423
Dy4 0.243 0.243 0.936
Dy5 0.781 0.781 0.562

---

Record-wise formation enthalpy at 0 K values, in eV per atom: 0.372 -0.087 -0.258 -0.048 -0.215 0.003